Entry i
VASP calculation (GGA-PBE) on an optimized crystal structure of Tb2Pm2Er3.

Lattice parameters (Å, degrees): 9.709 9.709 9.709 90.00 90.00 90.00
Space group I2_13 (No. 199)
Unique sites:
Tb (0.209, 0.209, 0.209)
Pm (0.093, 0.407, 0.593)
Er (0.000, 0.250, 0.945)

## Properties
Spin magnetization = 0.00 μB per atom

***

Entry ii
VASP calculation (GGA-PBE) on an optimized crystal structure of Tb2Pm2Er3.

Lattice parameters (Å, degrees): 11.239 5.039 7.978 90.00 98.21 90.00
Space group C2/m (No. 12)
Unique sites:
Tb (0.214, 0.000, 0.144)
Pm (0.072, 0.000, 0.715)
Er (0.000, 0.500, 0.000)
Er (0.143, 0.500, 0.428)

## Properties
Spin magnetization = 0.00 μB per atom

***

entry ii is preferred energetically. Next in line: 0.207 eV/atom higher.

***

Entry i
VASP calculation (GGA-PBE) on an optimized crystal structure of Tb6PmEr3.

Lattice parameters (Å, degrees): 11.006 18.968 6.183 90.00 90.00 90.00
Space group Cmc2_1 (No. 36)
Unique sites:
Tb (0.000, 0.046, 0.000)
Tb (0.000, 0.282, 0.271)
Tb (0.165, 0.455, 0.378)
Tb (0.247, 0.290, 0.549)
Pm (0.000, 0.205, 0.770)
Er (0.000, 0.389, 0.840)
Er (0.172, 0.110, 0.455)

## Properties
Spin magnetization = 0.00 μB per atom

***

Entry ii
VASP calculation (GGA-PBE) on an optimized crystal structure of Tb6PmEr3.

Lattice parameters (Å, degrees): 9.635 20.960 6.374 90.00 90.00 90.00
Space group Cmc2_1 (No. 36)
Unique sites:
Tb (0.000, 0.015, 0.000)
Tb (0.000, 0.301, 0.021)
Tb (0.176, 0.281, 0.483)
Tb (0.180, 0.441, 0.238)
Pm (0.000, 0.161, 0.802)
Er (0.000, 0.418, 0.715)
Er (0.169, 0.126, 0.326)

## Properties
Spin magnetization = 0.00 μB per atom

***

entry ii is preferred energetically. Next in line: 0.025 eV/atom higher.

***

Entry i
VASP calculation (GGA-PBE) on an optimized crystal structure of Tb7Pm3Er2.

Lattice parameters (Å, degrees): 5.842 3.569 18.809 90.00 93.02 90.00
Space group P2/m (No. 10)
Unique sites:
Tb (0.000, 0.000, 0.000)
Tb (0.189, 0.500, 0.178)
Tb (0.257, 0.500, 0.537)
Tb (0.312, 0.000, 0.856)
Pm (0.218, 0.000, 0.366)
Pm (0.500, 0.500, 0.000)
Er (0.292, 0.500, 0.706)

## Properties
Spin magnetization = 0.00 μB per atom

***

Entry ii
VASP calculation (GGA-PBE) on an optimized crystal structure of Tb7Pm3Er2.

Lattice parameters (Å, degrees): 6.5096 6.5096 33.8708 90.00 90.00 120.00
Space group R-3m (No. 166, hexagonal axes)
Unique sites:
Tb (0.0000, 0.0000, 0.0000)
Tb (0.0016, 0.5008, 0.4163)
Pm (0.0000, 0.0000, 0.3450)
Pm (0.0000, 0.0000, 0.5000)
Er (0.0000, 0.0000, 0.1666)

## Properties
Spin magnetization = 0.00 μB per atom

***

entry i is preferred energetically. Next in line: 0.203 eV/atom higher.

***

Entry i
VASP calculation (GGA-PBE) on an optimized crystal structure of Tb4Pm4Er.

Lattice parameters (Å, degrees): 10.787 10.787 5.081 90.00 90.00 90.00
Space group I4/mmm (No. 139)
Unique sites:
Tb (0.166, 0.166, 0.000)
Pm (0.000, 0.331, 0.500)
Er (0.000, 0.000, 0.500)

## Properties
Spin magnetization = 0.00 μB per atom

***

Entry ii
VASP calculation (GGA-PBE) on an optimized crystal structure of Tb4Pm4Er.

Lattice parameters (Å, degrees): 16.814 5.601 6.868 90.00 112.73 90.00
Space group C2/m (No. 12)
Unique sites:
Tb (0.074, 0.000, 0.379)
Tb (0.128, 0.500, 0.686)
Pm (0.132, 0.000, 0.961)
Pm (0.218, 0.500, 0.288)
Er (0.000, 0.500, 0.000)

## Properties
Spin magnetization = 0.00 μB per atom

***

entry i is preferred energetically. Next in line: 0.086 eV/atom higher.

***

Entry i
VASP calculation (GGA-PBE) on an optimized crystal structure of Tb3Pm2Er6.

Lattice parameters (Å, degrees): 4.713 4.713 33.050 90.00 90.00 90.00
Space group I4/mmm (No. 139)
Unique sites:
Tb (0.000, 0.000, 0.000)
Tb (0.000, 0.000, 0.202)
Pm (0.000, 0.000, 0.454)
Er (0.000, 0.000, 0.305)
Er (0.000, 0.500, 0.122)

## Properties
Spin magnetization = 0.00 μB per atom

***

Entry ii
VASP calculation (GGA-PBE) on an optimized crystal structure of Tb3Pm2Er6.

Lattice parameters (Å, degrees): 6.145 10.463 11.547 90.00 98.24 90.00
Space group C2/m (No. 12)
Unique sites:
Tb (0.000, 0.000, 0.000)
Tb (0.000, 0.336, 0.000)
Pm (0.000, 0.174, 0.500)
Er (0.237, 0.500, 0.253)
Er (0.238, 0.167, 0.246)

## Properties
Spin magnetization = 0.00 μB per atom

***

entry ii is preferred energetically. Next in line: 0.084 eV/atom higher.

***

Entry i
VASP calculation (GGA-PBE) on an optimized crystal structure of Tb7PmEr4.

Lattice parameters (Å, degrees): 6.200 7.163 8.821 89.98 76.28 89.94
Space group P-1 (No. 2)
Unique sites:
Tb (0.000, 0.000, 0.000)
Tb (0.222, 0.500, 0.335)
Tb (0.280, 0.249, 0.665)
Tb (0.500, 0.248, 0.000)
Pm (0.000, 0.500, 0.000)
Er (0.220, 0.000, 0.335)
Er (0.279, 0.752, 0.665)

## Properties
Spin magnetization = 0.00 μB per atom

***

Entry ii
VASP calculation (GGA-PBE) on an optimized crystal structure of Tb7PmEr4.

Lattice parameters (Å, degrees): 12.003 5.871 12.612 90.00 117.97 90.00
Space group C2/m (No. 12)
Unique sites:
Tb (0.000, 0.000, 0.000)
Tb (0.059, 0.500, 0.328)
Tb (0.133, 0.000, 0.503)
Tb (0.211, 0.500, 0.922)
Pm (0.000, 0.500, 0.000)
Er (0.134, 0.000, 0.775)
Er (0.249, 0.000, 0.316)

## Properties
Spin magnetization = 0.00 μB per atom

***

entry i is preferred energetically. Next in line: 0.277 eV/atom higher.

***

Entry i
VASP calculation (GGA-PBE) on an optimized crystal structure of Tb3Pm4Er2.

Lattice parameters (Å, degrees): 11.857 3.595 14.788 90.00 111.52 90.00
Space group C2/m (No. 12)
Unique sites:
Tb (0.000, 0.000, 0.000)
Tb (0.112, 0.000, 0.444)
Pm (0.167, 0.500, 0.666)
Pm (0.221, 0.000, 0.889)
Er (0.056, 0.500, 0.223)

## Properties
Spin magnetization = 0.00 μB per atom

***

Entry ii
VASP calculation (GGA-PBE) on an optimized crystal structure of Tb3Pm4Er2.

Lattice parameters (Å, degrees): 9.814 16.947 7.061 90.00 90.00 90.00
Space group Cccm (No. 66)
Unique sites:
Tb (0.000, 0.000, 0.250)
Tb (0.000, 0.329, 0.250)
Pm (0.154, 0.172, 0.000)
Pm (0.166, 0.488, 0.000)
Er (0.182, 0.162, 0.500)

## Properties
Spin magnetization = 0.00 μB per atom

***

entry i is preferred energetically. Next in line: 0.041 eV/atom higher.

***

Entry i
VASP calculation (GGA-PBE) on an optimized crystal structure of Tb4Pm6Er.

Lattice parameters (Å, degrees): 7.505 7.505 13.676 90.00 90.00 90.00
Space group I-42m (No. 121)
Unique sites:
Tb (0.167, 0.167, 0.419)
Pm (0.000, 0.500, 0.000)
Pm (0.225, 0.225, 0.188)
Er (0.000, 0.000, 0.000)

## Properties
Spin magnetization = 0.00 μB per atom

***

Entry ii
VASP calculation (GGA-PBE) on an optimized crystal structure of Tb4Pm6Er.

Lattice parameters (Å, degrees): 9.137 9.437 9.036 90.00 106.28 90.00
Space group Cm (No. 8)
Unique sites:
Tb (0.000, 0.000, 0.000)
Tb (0.065, 0.306, 0.410)
Tb (0.116, 0.500, 0.798)
Pm (0.245, 0.000, 0.324)
Pm (0.329, 0.500, 0.281)
Pm (0.336, 0.186, 0.016)
Pm (0.410, 0.317, 0.681)
Er (0.223, 0.000, 0.664)

## Properties
Spin magnetization = 0.00 μB per atom

***

entry ii is preferred energetically. Next in line: 0.202 eV/atom higher.

***

Entry i
VASP calculation (GGA-PBE) on an optimized crystal structure of TbPm3Er6.

Lattice parameters (Å, degrees): 10.995 18.889 6.233 90.00 90.00 90.00
Space group Cmc2_1 (No. 36)
Unique sites:
Tb (0.000, 0.204, 0.000)
Pm (0.000, 0.390, 0.072)
Pm (0.172, 0.111, 0.679)
Er (0.000, 0.044, 0.238)
Er (0.000, 0.279, 0.498)
Er (0.165, 0.453, 0.600)
Er (0.247, 0.290, 0.771)

## Properties
Spin magnetization = 0.00 μB per atom

***

Entry ii
VASP calculation (GGA-PBE) on an optimized crystal structure of TbPm3Er6.

Lattice parameters (Å, degrees): 6.148 6.157 9.394 70.88 70.99 80.42
Space group P-1 (No. 2)
Unique sites:
Tb (0.000, 0.000, 0.000)
Pm (0.500, 0.101, 0.298)
Pm (0.500, 0.500, 0.500)
Er (0.000, 0.402, 0.199)
Er (0.001, 0.801, 0.399)
Er (0.499, 0.300, 0.902)

## Properties
Spin magnetization = 0.00 μB per atom

***

entry ii is preferred energetically. Next in line: 0.130 eV/atom higher.